A geometry-optimized Co2RuO4 structure. Source: Alexandria via LeMat-Bulk, functional PBEsol.

It has space group Imma (No. 74), with a = 5.4678 Å, b = 5.8717 Å, c = 8.4944 Å, α = 90.00°, β = 90.00° and γ = 90.00°. Symmetry generates all atoms from Co at (0.0000, 0.0000, 0.0000), Co at (0.0000, 0.2500, 0.3730), Ru at (0.2500, 0.2500, 0.7500), O at (0.0000, 0.0026, 0.2254) and O at (0.2277, 0.2500, 0.9890).

The raw formation energy comes out at -870.8 meV per atom.